The following is a PBE calculation of a geometry-optimized Y4GeAu3 structure, from Alexandria via LeMat-Bulk.

abc: 3.908 4.505 11.005
angles: 90.00 90.00 90.00
Element x y z (fractional)
Y (0.000, 0.000, 0.000)
Y (0.000, 0.500, 0.277)
Y (0.500, 0.000, 0.499)
Y (0.500, 0.500, 0.778)
Ge (0.500, 0.000, 0.226)
Au (0.000, 0.000, 0.727)
Au (0.000, 0.500, 0.550)
Au (0.500, 0.500, 0.054)

Values from the calculation:
Electronic total energy, eV/atom: -5.90
DOS at the Fermi energy, states/eV per atom: 0.8063



The following is a PBE calculation of a geometry-optimized YGeAu structure, from Alexandria via LeMat-Bulk.

abc: 4.440 4.440 3.755
angles: 90.00 90.00 120.00
Element x y z (fractional)
Y (0.000, 0.000, 0.000)
Ge (0.667, 0.333, 0.475)
Au (0.333, 0.667, 0.515)

Values from the calculation:
Electronic total energy, eV/atom: -5.59
DOS at the Fermi energy, states/eV per atom: 0.3857



The following is a PBE calculation of a geometry-optimized Y2GeAu structure, from Alexandria via LeMat-Bulk.

abc: 3.597 3.597 7.193
angles: 90.00 90.00 90.00
Element x y z (fractional)
Y (0.000, 0.000, 0.247)
Y (0.000, 0.000, 0.753)
Ge (0.500, 0.500, 0.000)
Au (0.500, 0.500, 0.500)

Values from the calculation:
Electronic total energy, eV/atom: -5.98
DOS at the Fermi energy, states/eV per atom: 0.5108



The following is a PBE calculation of a geometry-optimized YGeAu structure, from Alexandria via LeMat-Bulk.

abc: 4.734 3.562 7.665
angles: 90.00 90.00 90.00
Element x y z (fractional)
Y (0.250, 0.000, 0.245)
Y (0.750, 0.000, 0.755)
Ge (0.250, 0.500, 0.572)
Ge (0.750, 0.500, 0.428)
Au (0.250, 0.500, 0.906)
Au (0.750, 0.500, 0.094)

Values from the calculation:
Electronic total energy, eV/atom: -5.49
DOS at the Fermi energy, states/eV per atom: 0.4814



The following is a PBE calculation of a geometry-optimized YGeAu structure, from Alexandria via LeMat-Bulk.

abc: 4.610 4.610 6.664
angles: 90.00 90.00 90.00
Element x y z (fractional)
Y (0.250, 0.750, 0.000)
Y (0.750, 0.250, 0.000)
Ge (0.250, 0.250, 0.322)
Ge (0.750, 0.750, 0.678)
Au (0.250, 0.250, 0.708)
Au (0.750, 0.750, 0.292)

Values from the calculation:
Electronic total energy, eV/atom: -5.04
DOS at the Fermi energy, states/eV per atom: 0.7691



The following is a PBE calculation of a geometry-optimized YGeAu structure, from Alexandria via LeMat-Bulk.

abc: 5.721 5.721 5.721
angles: 130.66 97.87 102.21
Element x y z (fractional)
Y (0.218, 0.250, 0.468)
Y (0.782, 0.750, 0.532)
Ge (0.217, 0.541, 0.176)
Ge (0.365, 0.041, 0.824)
Au (0.617, 0.960, 0.157)
Au (0.804, 0.460, 0.843)

Values from the calculation:
Electronic total energy, eV/atom: -5.47
DOS at the Fermi energy, states/eV per atom: 0.2786



The following is a PBE calculation of a geometry-optimized YGeAu structure, from Alexandria via LeMat-Bulk.

abc: 4.145 4.147 8.301
angles: 75.63 75.56 90.00
Element x y z (fractional)
Y (0.000, 0.000, 0.000)
Y (0.249, 0.749, 0.500)
Ge (0.421, 0.425, 0.157)
Ge (0.672, 0.170, 0.657)
Au (0.583, 0.582, 0.835)
Au (0.832, 0.329, 0.335)

Values from the calculation:
Electronic total energy, eV/atom: -5.50
DOS at the Fermi energy, states/eV per atom: 0.6583



The following is a PBE calculation of a geometry-optimized YGeAu structure, from Alexandria via LeMat-Bulk.

abc: 4.474 4.474 8.237
angles: 105.58 105.58 59.98
Element x y z (fractional)
Y (0.000, 0.000, 0.000)
Y (0.159, 0.159, 0.483)
Ge (0.405, 0.405, 0.217)
Ge (0.575, 0.575, 0.723)
Au (0.282, 0.282, 0.846)
Au (0.754, 0.754, 0.265)

Values from the calculation:
Electronic total energy, eV/atom: -5.48
DOS at the Fermi energy, states/eV per atom: 0.3763



| no. | total moment (μB/f.u.) |
| --- | --- |
| 1 | 0.0 |
| 2 | 0.0 |
| 3 | 0.0 |
| 4 | 0.0 |
| 5 | 0.0 |
| 6 | 0.0 |
| 7 | 0.0 |
| 8 | 0.0 |